(1)
Compound: KAs2Pt
Source: Alexandria via LeMat-Bulk
Functional: GGA-PBE
Structure: relaxed

Crystal system   cubic
Energy of formation   0.15 eV per atom
Offset from the most stable computed form   596 meV/atom

```
data_KAs2Pt
_chemical_formula_sum 'K4 As8 Pt4'
_symmetry_space_group_name_H-M 'F m -3 m'
_symmetry_Int_Tables_number 225
_symmetry_space_group_name_Hall '-F 4 2 3'
_cell_length_a 6.824
_cell_length_b 6.824
_cell_length_c 6.824
_cell_angle_alpha 90.00
_cell_angle_beta 90.00
_cell_angle_gamma 90.00
loop_
_atom_site_label
_atom_site_type_symbol
_atom_site_fract_x
_atom_site_fract_y
_atom_site_fract_z
K1 K 0.000 0.000 0.000
As1 As 0.250 0.250 0.250
Pt1 Pt 0.000 0.000 0.500
```

***

(2)
Compound: ZnHF3
Source: Alexandria via LeMat-Bulk
Functional: GGA-PBE
Structure: relaxed

Crystal system   cubic
Offset from the most stable computed form   974 meV/atom

```
data_ZnHF3
_chemical_formula_sum 'Zn1 H1 F3'
_symmetry_space_group_name_H-M 'P m -3 m'
_symmetry_Int_Tables_number 221
_symmetry_space_group_name_Hall '-P 4 2 3'
_cell_length_a 3.945
_cell_length_b 3.945
_cell_length_c 3.945
_cell_angle_alpha 90.00
_cell_angle_beta 90.00
_cell_angle_gamma 90.00
loop_
_atom_site_label
_atom_site_type_symbol
_atom_site_fract_x
_atom_site_fract_y
_atom_site_fract_z
Zn1 Zn 0.000 0.000 0.000
H1 H 0.500 0.500 0.500
F1 F 0.000 0.000 0.500
```

***

(3)
Compound: Be7C6
Source: Alexandria via LeMat-Bulk
Functional: GGA-PBE
Structure: relaxed

Crystal system   trigonal
Energy of formation   0.68 eV per atom

```
data_Be7C6
_chemical_formula_sum 'Be21 C18'
_symmetry_space_group_name_H-M 'R -3 m'
_symmetry_Int_Tables_number 166
_symmetry_space_group_name_Hall '-R 3 2"'
_cell_length_a 5.1308
_cell_length_b 5.1308
_cell_length_c 15.0699
_cell_angle_alpha 90.00
_cell_angle_beta 90.00
_cell_angle_gamma 120.00
loop_
_atom_site_label
_atom_site_type_symbol
_atom_site_fract_x
_atom_site_fract_y
_atom_site_fract_z
Be1 Be 0.0000 0.0000 0.0000
Be2 Be 0.0580 0.5290 0.4374
C1 C 0.0000 0.0000 0.1244
C2 C 0.0000 0.0000 0.3105
C3 C 0.0000 0.0000 0.3971
```

***

Results for ρ: 8.03; 3.34; 1.96 (in Mg/m³, following the order of the records).
Results for total moment: 0.00; 0.30; 0.00 (in μB per formula unit, following the order of the records).